{
  "formula": "TcOs2W2",
  "functional": "PBE",
  "state": "optimized geometry",
  "lattice": [[7.448, 0.000, 0.000], [0.000, 7.448, 0.000], [0.000, 0.000, 2.874]],
  "species": ["Tc", "Tc", "Os", "Os", "Os", "Os", "W", "W", "W", "W"],
  "fractional_positions": [[0.000, 0.000, 0.000], [0.500, 0.500, 0.000], [0.131, 0.369, 0.000], [0.369, 0.869, 0.000], [0.631, 0.131, 0.000], [0.869, 0.631, 0.000], [0.167, 0.667, 0.500], [0.333, 0.167, 0.500], [0.667, 0.833, 0.500], [0.833, 0.333, 0.500]],
  "e_form_kcal_per_mol_atoms": 7.1,
  "mass_density_g_cm3": 17.6,
  "final_energy_ev_per_cell": -114.4
}